Record 1
A relaxed Sb2RhCI crystal. Source: the Alexandria database, functional PBE.

Cell lengths 4.6454, 4.6454, 4.8371 Å; angles 90.00, 90.00, 90.00 degrees
Closest atoms and distances in Å follow each position.
Atoms (fractional coordinates):
Sb  0.0000  0.5000  0.0000  2 C 2.32
Sb  0.5000  0.0000  0.0000  2 C 2.32
Rh  0.0000  0.0000  0.5000  4 I 3.28, 8 Sb 3.35
C  0.5000  0.5000  0.0000  4 Sb 2.32, 2 I 2.42
I  0.5000  0.5000  0.5000  2 C 2.42

total magnetization	0.000	μB/f.u.
distance to the lowest polymorph of the same formula	0.000	eV per atom
V	104.39	Å³/cell
energy	-4.05	eV per atom


Record 2
A relaxed Sb2RhCI crystal. Source: the Alexandria database, functional PBE.

Cell lengths 5.0726, 5.0726, 5.6430 Å; angles 90.00, 90.00, 90.00 degrees
Closest atoms and distances in Å follow each position.
Atoms (fractional coordinates):
Sb  0.0000  0.5000  0.0000  2 Rh 2.54
Sb  0.5000  0.0000  0.0000  2 Rh 2.54
Rh  0.0000  0.0000  0.0000  4 Sb 2.54, 2 I 2.82
C  0.5000  0.5000  0.5000  4 I 3.59, 8 Sb 3.79
I  0.0000  0.0000  0.5000  2 Rh 2.82

total magnetization	1.778	μB/f.u.
distance to the lowest polymorph of the same formula	0.365	eV per atom
V	145.20	Å³/cell
energy	-3.69	eV per atom


Record 3
A relaxed Sm8Rh3CI4 crystal. Source: the Alexandria database, functional PBE.

Cell lengths 8.1916, 8.1916, 9.2715 Å; angles 116.27, 116.27, 60.00 degrees
Closest atoms and distances in Å follow each position.
Atoms (fractional coordinates):
Sm  0.2153  0.2153  0.6741  1 C 2.63, 2 Rh 2.80
Sm  0.2150  0.7439  0.6739  1 C 2.62, 2 Rh 2.80
Sm  0.2561  0.7850  0.3261  1 C 2.62, 2 Rh 2.80
Sm  0.2703  0.2703  0.3109  3 Rh 2.80
Sm  0.7297  0.7297  0.6891  3 Rh 2.80
Sm  0.7439  0.2150  0.6739  1 C 2.62, 2 Rh 2.80
Sm  0.7850  0.2561  0.3261  1 C 2.62, 2 Rh 2.80
Sm  0.7847  0.7847  0.3259  1 C 2.63, 2 Rh 2.80
Rh  0.0000  0.5000  0.5000  6 Sm 2.80
Rh  0.5000  0.0000  0.5000  6 Sm 2.80
Rh  0.5000  0.5000  0.5000  6 Sm 2.80
C  0.0000  0.0000  0.5000  6 Sm 2.62-2.63
I  0.0000  0.0000  0.0000  6 Sm 3.42-3.47
I  0.0000  0.5000  0.0000  6 Sm 3.43-3.47
I  0.5000  0.0000  0.0000  6 Sm 3.43-3.47
I  0.5000  0.5000  0.0000  6 Sm 3.60-3.61

total magnetization	0.000	μB/f.u.
V	463.14	Å³/cell
energy	-5.54	eV per atom


Record 4
A relaxed SnRh2CI crystal. Source: the Alexandria database, functional PBE.

Cell lengths 4.1965, 4.1965, 5.2251 Å; angles 90.00, 90.00, 90.00 degrees
Closest atoms and distances in Å follow each position.
Atoms (fractional coordinates):
Sn  0.0000  0.0000  0.0000  2 C 2.61
Rh  0.0000  0.5000  0.5000  2 C 2.10
Rh  0.5000  0.0000  0.5000  2 C 2.10
C  0.0000  0.0000  0.5000  4 Rh 2.10
I  0.5000  0.5000  0.0000  4 Sn 2.97

total magnetization	0.000	μB/f.u.
V	92.02	Å³/cell
energy	-5.22	eV per atom


Record 5
A relaxed SrRh2CI crystal. Source: the Alexandria database, functional PBE.

Cell lengths 4.1959, 4.1959, 5.5366 Å; angles 90.00, 90.00, 90.00 degrees
Closest atoms and distances in Å follow each position.
Atoms (fractional coordinates):
Sr  0.0000  0.0000  0.0000  2 C 2.77, 4 I 2.97
Rh  0.0000  0.5000  0.5000  2 C 2.10
Rh  0.5000  0.0000  0.5000  2 C 2.10
C  0.0000  0.0000  0.5000  4 Rh 2.10
I  0.5000  0.5000  0.0000  4 Sr 2.97

total magnetization	0.000	μB/f.u.
V	97.48	Å³/cell
energy	-5.38	eV per atom


Record 6
A relaxed TeRhCI2 crystal. Source: the Alexandria database, functional PBE.

Cell lengths 5.5600, 5.5600, 5.0168 Å; angles 90.00, 90.00, 90.00 degrees
Closest atoms and distances in Å follow each position.
Atoms (fractional coordinates):
Te  0.0000  0.0000  0.0000  2 Rh 2.51
Rh  0.0000  0.0000  0.5000  2 Te 2.51, 4 I 2.78
C  0.5000  0.5000  0.0000  8 I 3.74, 4 Te 3.93
I  0.0000  0.5000  0.5000  2 Rh 2.78
I  0.5000  0.0000  0.5000  2 Rh 2.78

total magnetization	1.596	μB/f.u.
distance to the lowest polymorph of the same formula	0.069	eV per atom
V	155.09	Å³/cell
energy	-2.98	eV per atom


Record 7
A relaxed TeRhCI2 crystal. Source: the Alexandria database, functional PBE.

Cell lengths 5.0060, 5.0060, 4.6330 Å; angles 90.00, 90.00, 90.00 degrees
Closest atoms and distances in Å follow each position.
Atoms (fractional coordinates):
Te  0.0000  0.0000  0.0000  2 C 2.32
Rh  0.5000  0.5000  0.0000  8 I 3.41, 4 Te 3.54
C  0.0000  0.0000  0.5000  2 Te 2.32, 4 I 2.50
I  0.0000  0.5000  0.5000  2 C 2.50
I  0.5000  0.0000  0.5000  2 C 2.50

total magnetization	1.628	μB/f.u.
distance to the lowest polymorph of the same formula	0.000	eV per atom
V	116.10	Å³/cell
energy	-3.05	eV per atom


Record 8
A relaxed YRhC2I crystal. Source: the Alexandria database, functional PBE.

Cell lengths 4.0785, 4.0785, 5.7880 Å; angles 90.00, 90.00, 90.00 degrees
Closest atoms and distances in Å follow each position.
Atoms (fractional coordinates):
Y  0.0000  0.0000  0.0000  4 I 2.88, 2 Rh 2.89
Rh  0.0000  0.0000  0.5000  4 C 2.04
C  0.0000  0.5000  0.5000  2 Rh 2.04
C  0.5000  0.0000  0.5000  2 Rh 2.04
I  0.5000  0.5000  0.0000  4 Y 2.88

total magnetization	0.570	μB/f.u.
V	96.28	Å³/cell
energy	-5.88	eV per atom


Record 9
A relaxed Ru2CI crystal. Source: the Alexandria database, functional PBE.

Cell lengths 4.3359, 4.3359, 4.3359 Å; angles 60.00, 60.00, 60.00 degrees
Closest atoms and distances in Å follow each position.
Atoms (fractional coordinates):
Ru  0.2500  0.2500  0.2500  4 I 2.66, 4 C 2.66
Ru  0.7500  0.7500  0.7500  4 I 2.66, 4 C 2.66
C  0.0000  0.0000  0.0000  8 Ru 2.66
I  0.5000  0.5000  0.5000  8 Ru 2.66

total magnetization	0.000	μB/f.u.
distance to the lowest polymorph of the same formula	0.992	eV per atom
V	57.64	Å³/cell
energy	-5.69	eV per atom


Record 10
A relaxed Ru3CI crystal. Source: the Alexandria database, functional PBE.

Cell lengths 4.1734, 4.1734, 4.1734 Å; angles 90.00, 90.00, 90.00 degrees
Closest atoms and distances in Å follow each position.
Atoms (fractional coordinates):
Ru  0.0000  0.0000  0.5000  2 C 2.09
Ru  0.0000  0.5000  0.0000  2 C 2.09
Ru  0.5000  0.0000  0.0000  2 C 2.09
C  0.0000  0.0000  0.0000  6 Ru 2.09
I  0.5000  0.5000  0.5000  12 Ru 2.95

total magnetization	0.000	μB/f.u.
distance to the lowest polymorph of the same formula	0.000	eV per atom
V	72.69	Å³/cell
energy	-6.94	eV per atom


Record 11
A relaxed RuC3I crystal. Source: the Alexandria database, functional PBE.

Cell lengths 4.1099, 4.1099, 4.1099 Å; angles 90.00, 90.00, 90.00 degrees
Closest atoms and distances in Å follow each position.
Atoms (fractional coordinates):
Ru  0.0000  0.0000  0.0000  6 C 2.05
C  0.0000  0.0000  0.5000  2 Ru 2.05
C  0.0000  0.5000  0.0000  2 Ru 2.05
C  0.5000  0.0000  0.0000  2 Ru 2.05
I  0.5000  0.5000  0.5000  12 C 2.91

total magnetization	0.000	μB/f.u.
distance to the lowest polymorph of the same formula	0.000	eV per atom
V	69.42	Å³/cell
energy	-5.52	eV per atom


Record 12
A relaxed Ru3CI crystal. Source: the Alexandria database, functional PBE.

Cell lengths 4.8470, 4.8470, 4.8470 Å; angles 90.00, 90.00, 90.00 degrees
Closest atoms and distances in Å follow each position.
Atoms (fractional coordinates):
Ru  0.0000  0.0000  0.5000  2 I 2.42
Ru  0.0000  0.5000  0.0000  2 I 2.42
Ru  0.5000  0.0000  0.0000  2 I 2.42
C  0.5000  0.5000  0.5000  12 Ru 3.43
I  0.0000  0.0000  0.0000  6 Ru 2.42

total magnetization	3.807	μB/f.u.
distance to the lowest polymorph of the same formula	2.349	eV per atom
V	113.87	Å³/cell
energy	-4.59	eV per atom